A plane-wave DFT calculation with GGA-PBE was carried out for an optimized crystal structure of Ni2IrBr.

Properties
Energy above the lowest structure with this stoichiometry, eV per atom: 0.4944
Space-group type: No. 225
Energy relative to the elements, uncorrected, eV/f.u.: 3.4
V, Å³/atom: 14.27

```
4
Lattice="0.0000 3.0558 3.0558 3.0558 0.0000 3.0558 3.0558 3.0558 0.0000" Properties=species:S:1:pos:R:3 pbc="T T T"
Ni 1.5279 1.5279 1.5279
Ni 4.5838 4.5838 4.5838
Ir 0.0000 0.0000 0.0000
Br 3.0558 3.0558 3.0558
```

=====

A plane-wave DFT calculation with GGA-PBE was carried out for an optimized crystal structure of Ho3Tm7Tl2.

Properties
Space-group type: No. 10
ΔH_f (0 K), kJ/mol of atoms: -1.6
V, Å³/atom: 29.89

```
12
Lattice="5.5599 0.0000 0.0000 0.0000 3.5588 0.0000 -1.0412 0.0000 18.1271" Properties=species:S:1:pos:R:3 pbc="T T T"
Ho 0.0000 0.0000 0.0000
Ho 0.8624 1.7794 11.4470
Ho 3.6563 1.7794 6.6802
Tm 0.7817 1.7794 2.6753
Tm 0.8692 0.0000 8.3107
Tm 0.9708 0.0000 15.0515
Tm 2.7800 1.7794 0.0000
Tm 3.5479 0.0000 3.0757
Tm 3.6495 0.0000 9.8164
Tm 3.7370 1.7794 15.4518
Tl 0.8566 0.0000 5.2881
Tl 3.6621 0.0000 12.8391
```

=====

no.,size of the total moment (μB/atom)
1,0.32
2,0.00